# 1
This record from Alexandria describes a relaxed structure of MnPdPtPb. The functional is PBE.

Cell and atoms, written as POSCAR:
```
MnPdPtPb
1.0
4.642 0.000 0.000
2.321 4.020 0.000
2.321 1.340 3.790
Pb Mn Pd Pt
1 1 1 1
Cartesian
0.000 0.000 0.000
4.642 2.680 1.895
6.963 4.020 2.843
2.321 1.340 0.948
```

Properties
Total DFT energy (no corrections) ... -6.16 eV/atom
Density of states at the Fermi level ... 2.3 states/eV/f.u.
Energy of formation from the pure elements ... -0.13 eV per atom

***

# 2
This record from Alexandria describes a relaxed structure of MnPdRhPb. The functional is PBE.

Cell and atoms, written as POSCAR:
```
MnPdRhPb
1.0
4.574 0.000 0.000
2.287 3.961 0.000
2.287 1.320 3.734
Pb Mn Rh Pd
1 1 1 1
Cartesian
4.574 2.641 1.867
0.000 0.000 0.000
6.860 3.961 2.801
2.287 1.320 0.934
```

Properties
Total DFT energy (no corrections) ... -6.45 eV/atom
Density of states at the Fermi level ... 3.5 states/eV/f.u.
Energy of formation from the pure elements ... -0.09 eV per atom

***

# 3
This record from Alexandria describes a relaxed structure of Mn2TePdPb. The functional is PBE.

Cell and atoms, written as POSCAR:
```
Mn2TePdPb
1.0
-3.038 -2.180 -3.226
-2.398 -2.281 3.800
-3.104 3.826 0.337
Pb Mn Te Pd
1 2 1 1
Cartesian
0.000 0.000 0.000
-1.552 1.913 0.169
-1.519 -1.090 -1.613
-4.270 -0.317 0.456
-1.199 -1.140 1.900
```

Properties
Total DFT energy (no corrections) ... -4.44 eV/atom
Density of states at the Fermi level ... 17.4 states/eV/f.u.
Formation energy (no corrections) ... 1.634 eV/atom

***

# 4
This record from Alexandria describes a relaxed structure of MnVPd2Pb. The functional is PBE.

Cell and atoms, written as POSCAR:
```
MnVPd2Pb
1.0
-0.063 1.523 -4.290
-2.791 -3.830 -1.318
-3.749 2.418 0.913
Pb Mn Pd V
1 1 2 1
Cartesian
-1.396 -1.915 -0.659
0.000 0.000 0.000
-1.874 1.209 0.456
-0.031 0.761 -2.145
-3.301 0.055 -2.348
```

Properties
Total DFT energy (no corrections) ... -5.25 eV/atom
Density of states at the Fermi level ... 11.6 states/eV/f.u.
Energy of formation from the pure elements ... 1.23 eV per atom